Record 1
Entry from Alexandria via LeMat-Bulk: crystalline Mo2OsPd2 at its relaxed geometry (PBE).

Summary:
The energy above the most stable polymorph in this dataset comes out at 0.00 eV/f.u. The space group is No. 127. The formation enthalpy at 0 K is 0.534 eV per atom.

```
data_Mo2OsPd2
_symmetry_space_group_name_H-M 'P 1'
_symmetry_Int_Tables_number 1
_symmetry_space_group_name_Hall 'P 1'
_cell_length_a 6.388
_cell_length_b 6.388
_cell_length_c 4.117
_cell_angle_alpha 90.00
_cell_angle_beta 90.00
_cell_angle_gamma 90.00
loop_
_atom_site_label
_atom_site_type_symbol
_atom_site_fract_x
_atom_site_fract_y
_atom_site_fract_z
Pd1 Pd 0.842 0.342 0.500
Pd2 Pd 0.158 0.658 0.500
Pd3 Pd 0.658 0.842 0.500
Pd4 Pd 0.342 0.158 0.500
Mo1 Mo 0.864 0.636 0.000
Mo2 Mo 0.364 0.864 0.000
Mo3 Mo 0.636 0.136 0.000
Mo4 Mo 0.136 0.364 0.000
Os1 Os 0.000 0.000 0.000
Os2 Os 0.500 0.500 0.000
```



Record 2
Entry from Alexandria via LeMat-Bulk: crystalline LaTbDyEr2 at its relaxed geometry (PBE).

Summary:
The space group is No. 63. The formation enthalpy at 0 K is 0.359 eV per atom.

```
data_LaTbDyEr2
_symmetry_space_group_name_H-M 'P 1'
_symmetry_Int_Tables_number 1
_symmetry_space_group_name_Hall 'P 1'
_cell_length_a 7.218
_cell_length_b 8.413
_cell_length_c 7.125
_cell_angle_alpha 126.19
_cell_angle_beta 90.00
_cell_angle_gamma 90.00
loop_
_atom_site_label
_atom_site_type_symbol
_atom_site_fract_x
_atom_site_fract_y
_atom_site_fract_z
Er1 Er 0.000 0.311 0.000
Er2 Er 0.500 0.689 0.000
Er3 Er 0.500 0.311 0.000
Er4 Er 0.000 0.689 0.000
Tb1 Tb 0.250 0.001 0.002
Tb2 Tb 0.750 0.999 0.998
La1 La 0.750 0.267 0.535
La2 La 0.250 0.733 0.465
Dy1 Dy 0.250 0.281 0.563
Dy2 Dy 0.750 0.719 0.437
```



Record 3
Entry from Alexandria via LeMat-Bulk: crystalline Ce2DyFe at its relaxed geometry (PBE).

Summary:
The energy above the most stable polymorph in this dataset comes out at 0.80 eV/f.u. The space group is No. 123. The formation enthalpy at 0 K is 0.127 eV per atom.

```
data_Ce2DyFe
_symmetry_space_group_name_H-M 'P 1'
_symmetry_Int_Tables_number 1
_symmetry_space_group_name_Hall 'P 1'
_cell_length_a 3.406
_cell_length_b 3.406
_cell_length_c 8.545
_cell_angle_alpha 90.00
_cell_angle_beta 90.00
_cell_angle_gamma 90.00
loop_
_atom_site_label
_atom_site_type_symbol
_atom_site_fract_x
_atom_site_fract_y
_atom_site_fract_z
Fe1 Fe 0.500 0.500 0.000
Dy1 Dy 0.500 0.500 0.500
Ce1 Ce 0.000 0.000 0.809
Ce2 Ce 0.000 0.000 0.191
```



Record 4
Entry from Alexandria via LeMat-Bulk: crystalline BeSb2W at its relaxed geometry (PBE).

Summary:
The space group is No. 65. The uncorrected formation energy is 0.783 eV/atom.

```
data_BeSb2W
_symmetry_space_group_name_H-M 'P 1'
_symmetry_Int_Tables_number 1
_symmetry_space_group_name_Hall 'P 1'
_cell_length_a 4.667
_cell_length_b 4.667
_cell_length_c 3.423
_cell_angle_alpha 90.00
_cell_angle_beta 90.00
_cell_angle_gamma 98.86
loop_
_atom_site_label
_atom_site_type_symbol
_atom_site_fract_x
_atom_site_fract_y
_atom_site_fract_z
W1 W 0.500 0.000 0.500
Sb1 Sb 0.000 0.000 0.000
Sb2 Sb 0.500 0.500 0.000
Be1 Be 0.000 0.500 0.500
```



Record 5
Entry from Alexandria via LeMat-Bulk: crystalline SrAlPd3 at its relaxed geometry (PBE).

Summary:
The energy above the most stable polymorph in this dataset comes out at 0.78 eV/f.u. The space group is No. 221. The formation enthalpy at 0 K is -0.492 eV per atom.

```
data_SrAlPd3
_symmetry_space_group_name_H-M 'P 1'
_symmetry_Int_Tables_number 1
_symmetry_space_group_name_Hall 'P 1'
_cell_length_a 4.747
_cell_length_b 4.747
_cell_length_c 4.747
_cell_angle_alpha 90.00
_cell_angle_beta 90.00
_cell_angle_gamma 90.00
loop_
_atom_site_label
_atom_site_type_symbol
_atom_site_fract_x
_atom_site_fract_y
_atom_site_fract_z
Sr1 Sr 0.500 0.500 0.500
Pd1 Pd 0.500 0.000 0.000
Pd2 Pd 0.000 0.500 0.000
Pd3 Pd 0.000 0.000 0.500
Al1 Al 0.000 0.000 0.000
```



Record 6
Entry from Alexandria via LeMat-Bulk: crystalline CsCeI5 at its relaxed geometry (PBE).

Summary:
The energy above the most stable polymorph in this dataset comes out at 0.00 eV/f.u. The space group is No. 15. The uncorrected formation energy is -1.252 eV/atom.

```
data_CsCeI5
_symmetry_space_group_name_H-M 'P 1'
_symmetry_Int_Tables_number 1
_symmetry_space_group_name_Hall 'P 1'
_cell_length_a 8.940
_cell_length_b 8.940
_cell_length_c 12.633
_cell_angle_alpha 87.12
_cell_angle_beta 111.96
_cell_angle_gamma 122.85
loop_
_atom_site_label
_atom_site_type_symbol
_atom_site_fract_x
_atom_site_fract_y
_atom_site_fract_z
Ce1 Ce 0.000 0.000 0.000
Ce2 Ce 0.500 0.000 0.500
I1 I 0.153 0.864 0.554
I2 I 0.847 0.136 0.446
I3 I 0.190 0.401 0.054
I4 I 0.279 0.029 0.250
I5 I 0.666 0.384 0.590
I6 I 0.705 0.924 0.090
I7 I 0.810 0.599 0.946
I8 I 0.295 0.076 0.910
I9 I 0.721 0.971 0.750
I10 I 0.334 0.616 0.410
Cs1 Cs 0.241 0.491 0.750
Cs2 Cs 0.759 0.509 0.250
```



Record-wise total magnetization values, in μB per formula unit: 0.00; 0.00; 0.23; 0.00; 0.00; 0.00